(1)
Entry from Alexandria via LeMat-Bulk: an optimized crystal structure of TlGaSbTe2 (PBE).

Structure (extended XYZ):
```
5
Lattice="5.885 0.000 0.000 0.000 5.885 0.000 0.000 0.000 5.670" Properties=species:S:1:pos:R:3 pbc="T T T"
Tl 0.000 0.000 0.000
Ga 2.942 2.942 2.835
Sb 0.000 0.000 2.835
Te 0.000 2.942 0.000
Te 2.942 0.000 0.000
```

## Properties
- E_form (uncorrected): 0.631 eV per atom
- Energy above the most stable polymorph in this dataset: 433.3 meV/atom

(2)
Entry from Alexandria via LeMat-Bulk: an optimized crystal structure of Tm8GaSb3Te4 (PBE).

Structure (extended XYZ):
```
16
Lattice="4.309 2.488 7.048 -4.309 2.488 7.048 0.000 -4.975 7.048" Properties=species:S:1:pos:R:3 pbc="T T T"
Tm 0.000 0.000 5.202
Tm -2.050 -1.183 12.185
Tm 0.000 -2.367 8.959
Tm -2.050 1.183 8.959
Tm 2.050 -1.183 12.185
Tm 0.000 2.367 12.185
Tm 2.050 1.183 8.959
Tm 0.000 0.000 15.941
Ga 0.000 0.000 10.572
Sb -4.309 0.000 10.572
Sb -2.154 1.244 3.524
Sb 2.154 1.244 3.524
Te 0.000 0.000 0.000
Te -2.154 -1.244 7.048
Te -2.154 1.244 14.095
Te 0.000 2.488 7.048
```

## Properties
- E_form (uncorrected): -1.120 eV per atom

(3)
Entry from Alexandria via LeMat-Bulk: an optimized crystal structure of VGaSb2Te (PBE).

Structure (extended XYZ):
```
5
Lattice="5.194 0.000 0.000 0.000 5.194 0.000 0.000 0.000 5.371" Properties=species:S:1:pos:R:3 pbc="T T T"
V 0.000 0.000 0.000
Ga 2.597 2.597 2.685
Sb 0.000 2.597 2.685
Sb 2.597 0.000 2.685
Te 2.597 2.597 0.000
```

## Properties
- E_form (uncorrected): 1.112 eV per atom
- Energy above the most stable polymorph in this dataset: 823.3 meV/atom

(4)
Entry from Alexandria via LeMat-Bulk: an optimized crystal structure of VGaSb2Te (PBE).

Structure (extended XYZ):
```
5
Lattice="5.177 0.000 0.000 0.000 5.177 0.000 0.000 0.000 5.231" Properties=species:S:1:pos:R:3 pbc="T T T"
V 0.000 0.000 0.000
Ga 2.589 2.589 2.615
Sb 0.000 2.589 0.000
Sb 2.589 0.000 0.000
Te 0.000 0.000 2.615
```

## Properties
- E_form (uncorrected): 0.288 eV per atom
- Energy above the most stable polymorph in this dataset: 0.0 meV/atom

(5)
Entry from Alexandria via LeMat-Bulk: an optimized crystal structure of VGaSbTe2 (PBE).

Structure (extended XYZ):
```
5
Lattice="5.256 0.000 0.000 0.000 5.256 0.000 0.000 0.000 5.196" Properties=species:S:1:pos:R:3 pbc="T T T"
V 0.000 0.000 0.000
Ga 2.628 2.628 2.598
Sb 0.000 0.000 2.598
Te 0.000 2.628 0.000
Te 2.628 0.000 0.000
```

## Properties
- E_form (uncorrected): 0.236 eV per atom
- Energy above the most stable polymorph in this dataset: 0.0 meV/atom

(6)
Entry from Alexandria via LeMat-Bulk: an optimized crystal structure of VGaSbTe2 (PBE).

Structure (extended XYZ):
```
5
Lattice="5.367 0.000 0.000 0.000 5.367 0.000 0.000 0.000 5.121" Properties=species:S:1:pos:R:3 pbc="T T T"
V 0.000 0.000 0.000
Ga 2.684 2.684 2.560
Sb 2.684 2.684 0.000
Te 0.000 2.684 2.560
Te 2.684 0.000 2.560
```

## Properties
- E_form (uncorrected): 1.030 eV per atom
- Energy above the most stable polymorph in this dataset: 794.2 meV/atom

(7)
Entry from Alexandria via LeMat-Bulk: an optimized crystal structure of GaSbTe2W (PBE).

Structure (extended XYZ):
```
5
Lattice="5.382 0.000 0.000 0.000 5.382 0.000 0.000 0.000 5.288" Properties=species:S:1:pos:R:3 pbc="T T T"
Ga 0.000 0.000 0.000
Sb 2.691 2.691 0.000
Te 0.000 2.691 2.644
Te 2.691 0.000 2.644
W 2.691 2.691 2.644
```

## Properties
- E_form (uncorrected): 0.578 eV per atom
- Energy above the most stable polymorph in this dataset: 0.0 meV/atom

(8)
Entry from Alexandria via LeMat-Bulk: an optimized crystal structure of GaSbTe2W (PBE).

Structure (extended XYZ):
```
5
Lattice="5.275 0.000 0.000 0.000 5.275 0.000 0.000 0.000 5.124" Properties=species:S:1:pos:R:3 pbc="T T T"
Ga 0.000 0.000 0.000
Sb 0.000 0.000 2.562
Te 0.000 2.638 0.000
Te 2.638 0.000 0.000
W 2.638 2.638 2.562
```

## Properties
- E_form (uncorrected): 1.400 eV per atom
- Energy above the most stable polymorph in this dataset: 822.0 meV/atom